(1)
VASP calculation (PBE) on an optimized crystal structure of Be2Pb.

- Polymorph energy (0 for the lowest one): 0.442 eV/atom
- Space group: Cmmm
- Energy relative to the elements: 1.9 eV per formula unit

The structure in POSCAR format:
```
Be2Pb
1.0
3.832 0.000 0.000
0.000 6.652 0.000
0.000 0.000 3.812
Be Pb
4 2
Direct
0.000 0.166 0.000 Be
0.000 0.834 0.000 Be
0.500 0.334 0.000 Be
0.500 0.666 0.000 Be
0.000 0.500 0.500 Pb
0.500 0.000 0.500 Pb
```

(2)
VASP calculation (PBE) on an optimized crystal structure of Zr2UMoC4.

- Space group: Cmcm
- Energy relative to the elements: -1.9 eV per formula unit

The structure in POSCAR format:
```
Zr2UMoC4
1.0
1.653 -5.820 0.000
1.653 5.820 0.000
0.000 0.000 11.624
Zr U Mo C
4 2 2 8
Direct
0.131 0.869 0.537 Zr
0.131 0.869 0.963 Zr
0.869 0.131 0.037 Zr
0.869 0.131 0.463 Zr
0.382 0.618 0.750 U
0.618 0.382 0.250 U
0.352 0.648 0.250 Mo
0.648 0.352 0.750 Mo
0.039 0.961 0.750 C
0.237 0.763 0.124 C
0.237 0.763 0.376 C
0.500 0.500 0.000 C
0.500 0.500 0.500 C
0.763 0.237 0.624 C
0.763 0.237 0.876 C
0.961 0.039 0.250 C
```

(3)
VASP calculation (PBE) on an optimized crystal structure of Cs2RbErCl6.

- Space group: Fm-3m
- Uncorrected formation energy: -2.1498 eV/atom

The structure in POSCAR format:
```
Cs2RbErCl6
1.0
0.000 5.759 5.759
5.759 0.000 5.759
5.759 5.759 0.000
Cs Rb Er Cl
2 1 1 6
Direct
0.250 0.250 0.250 Cs
0.750 0.750 0.750 Cs
0.000 0.000 0.000 Rb
0.500 0.500 0.500 Er
0.273 0.273 0.727 Cl
0.273 0.727 0.273 Cl
0.273 0.727 0.727 Cl
0.727 0.273 0.273 Cl
0.727 0.273 0.727 Cl
0.727 0.727 0.273 Cl
```

(4)
VASP calculation (PBE) on an optimized crystal structure of HgPIr3.

- Polymorph energy (0 for the lowest one): 0.000 eV/atom
- Space group: Pm-3m
- Energy relative to the elements: 2.5 eV per formula unit

The structure in POSCAR format:
```
HgPIr3
1.0
4.439 0.000 0.000
0.000 4.439 0.000
0.000 0.000 4.439
Hg P Ir
1 1 3
Direct
0.000 0.000 0.000 Hg
0.500 0.500 0.500 P
0.000 0.500 0.500 Ir
0.500 0.000 0.500 Ir
0.500 0.500 0.000 Ir
```

(5)
VASP calculation (PBE) on an optimized crystal structure of TcNiAu2.

- Polymorph energy (0 for the lowest one): 0.242 eV/atom
- Space group: I-4m2
- Energy relative to the elements: 1.5 eV per formula unit

The structure in POSCAR format:
```
TcNiAu2
1.0
3.969 0.000 0.000
0.000 3.969 0.000
0.000 0.000 7.965
Tc Ni Au
2 2 4
Direct
0.000 0.000 0.000 Tc
0.500 0.500 0.500 Tc
0.000 0.500 0.250 Ni
0.500 0.000 0.750 Ni
0.000 0.000 0.500 Au
0.000 0.500 0.750 Au
0.500 0.000 0.250 Au
0.500 0.500 0.000 Au
```

(6)
VASP calculation (PBE) on an optimized crystal structure of Ce2PmNb.

- Space group: R-3m
- Energy relative to the elements: 1.8 eV per formula unit

The structure in POSCAR format:
```
Ce2PmNb
1.0
3.188 0.000 0.000
-1.594 2.761 0.000
0.000 0.000 35.484
Ce Pm Nb
6 3 3
Direct
0.000 0.000 0.078 Ce
0.000 0.000 0.922 Ce
0.333 0.667 0.588 Ce
0.333 0.667 0.745 Ce
0.667 0.333 0.255 Ce
0.667 0.333 0.412 Ce
0.000 0.000 0.500 Pm
0.333 0.667 0.167 Pm
0.667 0.333 0.833 Pm
0.000 0.000 0.000 Nb
0.333 0.667 0.667 Nb
0.667 0.333 0.333 Nb
```

(7)
VASP calculation (PBE) on an optimized crystal structure of Nd3Ga3Pd2.

- Space group: P-1
- Energy relative to the elements: -5.3 eV per formula unit

The structure in POSCAR format:
```
Nd3Ga3Pd2
1.0
4.336 0.000 0.000
0.007 5.227 0.000
2.163 1.685 8.191
Nd Ga Pd
3 3 2
Direct
0.000 0.000 0.000 Nd
0.151 0.590 0.699 Nd
0.849 0.410 0.301 Nd
0.360 0.913 0.280 Ga
0.500 0.500 0.000 Ga
0.640 0.087 0.720 Ga
0.223 0.136 0.552 Pd
0.777 0.864 0.448 Pd
```

(8)
VASP calculation (PBE) on an optimized crystal structure of KTlNi3.

- Polymorph energy (0 for the lowest one): 0.000 eV/atom
- Space group: Pm-3m
- Energy relative to the elements: 5.1 eV per formula unit

The structure in POSCAR format:
```
KTlNi3
1.0
4.952 0.000 0.000
0.000 4.952 0.000
0.000 0.000 4.952
K Tl Ni
1 1 3
Direct
0.000 0.000 0.000 K
0.500 0.500 0.500 Tl
0.000 0.500 0.500 Ni
0.500 0.000 0.500 Ni
0.500 0.500 0.000 Ni
```